A) BaSrS2Cl after structural relaxation, computed with PBE.

Structure (CIF):
```
data_BaSrS2Cl
_symmetry_space_group_name_H-M 'P 1'
_symmetry_Int_Tables_number 1
_cell_length_a 5.5400
_cell_length_b 5.5400
_cell_length_c 5.4887
_cell_angle_alpha 90.00
_cell_angle_beta 90.00
_cell_angle_gamma 90.00
loop_
_symmetry_equiv_pos_as_xyz
'x,y,z'
loop_
_atom_site_label
_atom_site_type_symbol
_atom_site_fract_x
_atom_site_fract_y
_atom_site_fract_z
_atom_site_occupancy
S1 S 0.5000 0.0000 0.0000 1
Sr1 Sr 0.0000 0.0000 0.0000 1
S2 S 0.0000 0.5000 0.0000 1
Cl1 Cl 0.0000 0.0000 0.5000 1
Ba1 Ba 0.5000 0.5000 0.5000 1
```

B) BaSrS2Cl after structural relaxation, computed with PBE.

Structure (CIF):
```
data_BaSrS2Cl
_symmetry_space_group_name_H-M 'P 1'
_symmetry_Int_Tables_number 1
_cell_length_a 5.7470
_cell_length_b 5.7470
_cell_length_c 5.7244
_cell_angle_alpha 90.00
_cell_angle_beta 90.00
_cell_angle_gamma 90.00
loop_
_symmetry_equiv_pos_as_xyz
'x,y,z'
loop_
_atom_site_label
_atom_site_type_symbol
_atom_site_fract_x
_atom_site_fract_y
_atom_site_fract_z
_atom_site_occupancy
Cl1 Cl 0.0000 0.0000 0.5000 1
Ba1 Ba 0.0000 0.0000 0.0000 1
S1 S 0.5000 0.0000 0.0000 1
S2 S 0.0000 0.5000 0.0000 1
Sr1 Sr 0.5000 0.5000 0.5000 1
```

Which one sits at the top of the stability order? A) does.